Dy2Ge5Rh3: relaxed, GGA-PBE.

Results
Its energy above the most stable polymorph in this dataset is 0.031 eV per atom. For the total magnetization, the calculation gives 0.00 μB per formula unit.

abc: 4.231 6.831 12.519
angles: 90.00 99.73 90.00
Sites, in units of the cell vectors:
Dy 0.479 0.739 0.958
Dy 0.175 0.743 0.351
Dy 0.825 0.243 0.649
Dy 0.521 0.239 0.042
Ge 0.400 0.377 0.801
Ge 0.292 0.523 0.583
Ge 0.708 0.023 0.417
Ge 0.118 0.263 0.235
Ge 0.293 0.946 0.587
Ge 0.952 0.074 0.904
Ge 0.707 0.446 0.413
Ge 0.882 0.763 0.765
Ge 0.048 0.574 0.096
Ge 0.600 0.877 0.199
Rh 0.779 0.734 0.559
Rh 0.607 0.508 0.213
Rh 0.054 0.957 0.108
Rh 0.221 0.234 0.441
Rh 0.946 0.457 0.892
Rh 0.393 0.008 0.787

Dy2GeRh: relaxed, GGA-PBE.

Results
For the total magnetization, the calculation gives 0.00 μB per formula unit. As for the total energy: -6.159 eV per atom.

abc: 4.187 5.779 7.982
angles: 112.16 90.00 90.00
Sites, in units of the cell vectors:
Dy 0.750 0.215 0.440
Dy 0.250 0.785 0.560
Dy 0.250 0.774 0.088
Dy 0.750 0.226 0.912
Ge 0.250 0.330 0.203
Ge 0.750 0.670 0.797
Rh 0.750 0.645 0.289
Rh 0.250 0.355 0.711

Dy2Ge3Rh: relaxed, GGA-PBE.

Results
For the total magnetization, the calculation gives 0.00 μB per formula unit. As for the total energy: -5.842 eV per atom.

abc: 4.364 5.651 5.746
angles: 74.88 67.68 67.29
Sites, in units of the cell vectors:
Dy 0.547 0.191 0.715
Dy 0.439 0.810 0.313
Ge 0.868 0.603 0.662
Ge 0.813 0.246 0.127
Ge 0.165 0.762 0.908
Rh 0.168 0.388 0.276

Dy3Ge3Rh2: relaxed, GGA-PBE.

Results
Its energy above the most stable polymorph in this dataset is 0.000 eV per atom. For the total magnetization, the calculation gives 0.00 μB per formula unit.

abc: 4.310 5.684 14.247
angles: 90.00 90.00 112.28
Sites, in units of the cell vectors:
Dy 0.917 0.833 0.390
Dy 0.083 0.167 0.890
Dy 0.917 0.833 0.110
Dy 0.083 0.167 0.610
Dy 0.644 0.287 0.250
Dy 0.356 0.713 0.750
Ge 0.620 0.239 0.463
Ge 0.380 0.761 0.963
Ge 0.620 0.239 0.037
Ge 0.380 0.761 0.537
Ge 0.345 0.690 0.250
Ge 0.655 0.310 0.750
Rh 0.797 0.594 0.901
Rh 0.203 0.406 0.401
Rh 0.797 0.594 0.599
Rh 0.203 0.406 0.099